No. 1
Computed, not measured: a geometry-optimized CdAg5 structure at the PBE level of DFT.

a = 9.3379 Å, b = 4.1330 Å, c = 5.9968 Å
α = 90.00°, β = 108.15°, γ = 90.00°
With the nearest neighbours (Å) after each atom.
Space group C2/m (No. 12)
Unique sites:
1 Cd 0.0000 0.0000 0.0000  12 Ag 2.95-3.00
2 Ag 0.0000 0.0000 0.5000  10 Ag 2.94-2.95, 2 Cd 3.00
3 Ag 0.1668 0.5000 0.8309  9 Ag 2.94-3.03, 3 Cd 2.95-2.96
4 Ag 0.1677 0.5000 0.3360  10 Ag 2.94-3.03, 2 Cd 2.97

formation enthalpy at 0 K = -0.021 eV per atom
crystal system = monoclinic
V = 18.33 Å³ per atom
E above lowest polymorph = 0.000 eV/atom


No. 2
Computed, not measured: a geometry-optimized Cd2Ag3 structure at the PBE level of DFT.

a = 3.0287 Å, b = 4.1871 Å, c = 15.0202 Å
α = 90.00°, β = 90.00°, γ = 90.00°
With the nearest neighbours (Å) after each atom.
Space group Immm (No. 71)
Unique sites:
1 Cd 0.0000 0.0000 0.1027  9 Ag 2.96-3.01, 3 Cd 3.03-3.09
2 Ag 0.0000 0.0000 0.2999  5 Cd 2.96-2.97, 7 Ag 2.99-3.03
3 Ag 0.0000 0.0000 0.5000  4 Ag 3.01-3.03, 8 Cd 3.01

formation enthalpy at 0 K = -0.045 eV per atom
crystal system = orthorhombic
V = 19.05 Å³ per atom
E above lowest polymorph = 0.001 eV/atom


No. 3
Computed, not measured: a geometry-optimized CdAg3 structure at the PBE level of DFT.

a = 5.0847 Å, b = 9.7963 Å, c = 5.9724 Å
α = 90.00°, β = 90.00°, γ = 90.00°
With the nearest neighbours (Å) after each atom.
Space group Pnma (No. 62)
Unique sites:
1 Cd 0.0896 0.2500 0.1171  10 Ag 2.92-3.03, 2 Cd 3.00
2 Ag 0.0915 0.2500 0.6248  4 Cd 2.92-3.03, 8 Ag 2.95-2.99
3 Ag 0.2479 0.5007 0.3736  9 Ag 2.94-2.99, 3 Cd 2.96-3.01

formation enthalpy at 0 K = -0.028 eV per atom
crystal system = orthorhombic
V = 18.59 Å³ per atom


No. 4
Computed, not measured: a geometry-optimized Cd7Ag4 structure at the PBE level of DFT.

a = 8.1506 Å, b = 8.1506 Å, c = 4.3810 Å
α = 90.00°, β = 90.00°, γ = 120.00°
With the nearest neighbours (Å) after each atom.
Space group P-6m2 (No. 187)
Unique sites:
1 Cd 0.0000 0.0000 0.0000  6 Cd 3.47, 6 Ag 3.66
2 Cd 0.1905 0.3811 0.5000  4 Ag 2.82-2.98
3 Cd 0.5309 0.0619 0.0000  5 Ag 2.79-2.87
4 Ag 0.3333 0.6667 0.0000  9 Cd 2.79-2.98
5 Ag 0.4153 0.2077 0.5000  6 Cd 2.82-2.87, 2 Ag 3.07

formation enthalpy at 0 K = 0.096 eV per atom
crystal system = hexagonal
V = 22.91 Å³ per atom


No. 5
Computed, not measured: a geometry-optimized Cd5Ag structure at the PBE level of DFT.

a = 5.5710 Å, b = 5.5710 Å, c = 5.3388 Å
α = 90.00°, β = 90.00°, γ = 120.00°
With the nearest neighbours (Å) after each atom.
Space group P6/mmm (No. 191)
Unique sites:
1 Cd 0.0000 0.5000 0.0000  8 Cd 2.79-3.12
2 Cd 0.3333 0.6667 0.5000  9 Cd 3.12-3.22, 3 Ag 3.22
3 Ag 0.0000 0.0000 0.5000  6 Cd 3.22

formation enthalpy at 0 K = 0.173 eV per atom
crystal system = hexagonal
V = 23.92 Å³ per atom


No. 6
Computed, not measured: a geometry-optimized CdAg structure at the PBE level of DFT.

a = 7.7881 Å, b = 7.7881 Å, c = 4.9468 Å
α = 90.00°, β = 90.00°, γ = 120.00°
With the nearest neighbours (Å) after each atom.
Space group P6_3/m (No. 176)
Unique sites:
1 Cd 0.0676 0.7940 0.2500  5 Ag 2.84-3.02, 4 Cd 3.13
2 Ag 0.1011 0.6240 0.7500  5 Cd 2.84-3.02, 4 Ag 2.89-3.05

formation enthalpy at 0 K = 0.080 eV per atom
crystal system = hexagonal
V = 21.65 Å³ per atom


No. 7
Computed, not measured: a geometry-optimized CdAg2 structure at the PBE level of DFT.

a = 10.6471 Å, b = 3.3513 Å, c = 6.6315 Å
α = 90.00°, β = 105.99°, γ = 90.00°
With the nearest neighbours (Å) after each atom.
Space group Cm (No. 8)
Unique sites:
1 Cd 0.0000 0.0000 0.0000  8 Ag 2.88-3.15, 2 Cd 3.05
2 Cd 0.1746 0.5000 0.3514  8 Ag 2.90-3.09, 2 Cd 3.05
3 Ag 0.1445 0.5000 0.7851  3 Cd 2.90-2.98, 7 Ag 2.90-3.13
4 Ag 0.3079 0.0000 0.1190  5 Cd 2.90-3.15, 5 Ag 2.94-3.04
5 Ag 0.3389 0.0000 0.6770  4 Cd 2.88-2.91, 6 Ag 2.88-3.13
6 Ag 0.4755 0.5000 0.4530  6 Ag 2.88-2.95, 4 Cd 2.92-3.09

formation enthalpy at 0 K = -0.020 eV per atom
crystal system = monoclinic
V = 18.96 Å³ per atom
E above lowest polymorph = 0.021 eV/atom


No. 8
Computed, not measured: a geometry-optimized CdAg3 structure at the PBE level of DFT.

a = 5.3256 Å, b = 5.3256 Å, c = 5.3256 Å
α = 90.00°, β = 90.00°, γ = 90.00°
With the nearest neighbours (Å) after each atom.
Space group Pm-3m (No. 221)
Unique sites:
1 Cd 0.0000 0.0000 0.0000  6 Ag 2.66
2 Ag 0.0000 0.0000 0.5000  2 Cd 2.66

formation enthalpy at 0 K = 0.819 eV per atom
crystal system = cubic
V = 37.76 Å³ per atom


No. 9
Computed, not measured: a geometry-optimized CdAg2 structure at the PBE level of DFT.

a = 8.1466 Å, b = 8.1466 Å, c = 2.9759 Å
α = 90.00°, β = 90.00°, γ = 120.00°
With the nearest neighbours (Å) after each atom.
Space group P-62m (No. 189)
Unique sites:
1 Cd 0.0000 0.0000 0.0000  9 Ag 2.91-2.93, 2 Cd 2.98
2 Cd 0.3333 0.6667 0.5000  9 Ag 2.83-3.01, 2 Cd 2.98
3 Ag 0.0000 0.3072 0.5000  4 Cd 2.83-2.91, 8 Ag 2.98-3.12
4 Ag 0.0000 0.6403 0.0000  5 Cd 2.93-3.01, 8 Ag 2.98-3.12

formation enthalpy at 0 K = -0.011 eV per atom
crystal system = hexagonal
V = 19.00 Å³ per atom
E above lowest polymorph = 0.030 eV/atom


No. 10
Computed, not measured: a geometry-optimized CdAg structure at the PBE level of DFT.

a = 4.3176 Å, b = 4.3884 Å, c = 4.0955 Å
α = 90.00°, β = 90.00°, γ = 90.00°
With the nearest neighbours (Å) after each atom.
Space group Cmmm (No. 65)
Unique sites:
1 Cd 0.0000 0.0000 0.0000  8 Ag 2.98-3.00, 4 Cd 3.08
2 Ag 0.0000 0.5000 0.5000  8 Cd 2.98-3.00, 4 Ag 3.08

formation enthalpy at 0 K = -0.044 eV per atom
crystal system = orthorhombic
V = 19.40 Å³ per atom


No. 11
Computed, not measured: a geometry-optimized CdAg3 structure at the PBE level of DFT.

a = 2.9997 Å, b = 9.7081 Å, c = 5.0959 Å
α = 90.00°, β = 90.00°, γ = 90.00°
With the nearest neighbours (Å) after each atom.
Space group Imm2 (No. 44)
Unique sites:
1 Cd 0.0000 0.0000 0.0000  10 Ag 2.95-2.98, 2 Cd 3.00
2 Ag 0.0000 0.2488 0.6582  9 Ag 2.96-3.00, 3 Cd 2.97-2.98
3 Ag 0.0000 0.5000 0.9978  4 Cd 2.95-2.97, 8 Ag 2.96-3.00

formation enthalpy at 0 K = -0.028 eV per atom
crystal system = orthorhombic
V = 18.55 Å³ per atom


No. 12
Computed, not measured: a geometry-optimized CdAg3 structure at the PBE level of DFT.

a = 2.9878 Å, b = 2.9878 Å, c = 9.6704 Å
α = 90.00°, β = 90.00°, γ = 120.00°
With the nearest neighbours (Å) after each atom.
Space group P-6m2 (No. 187)
Unique sites:
1 Cd 0.0000 0.0000 0.0000  6 Cd 2.99, 6 Ag 3.02
2 Ag 0.0000 0.0000 0.5000  12 Ag 2.92-2.99
3 Ag 0.6667 0.3333 0.2558  9 Ag 2.92-2.99, 3 Cd 3.02

formation enthalpy at 0 K = 0.022 eV per atom
crystal system = hexagonal
V = 18.69 Å³ per atom


No. 13
Computed, not measured: a geometry-optimized Cd3Ag5 structure at the PBE level of DFT.

a = 4.7248 Å, b = 4.7858 Å, c = 13.4749 Å
α = 90.00°, β = 90.00°, γ = 90.00°
With the nearest neighbours (Å) after each atom.
Space group Immm (No. 71)
Unique sites:
1 Cd 0.0000 0.0000 0.0000  4 Ag 2.90, 4 Cd 2.97
2 Cd 0.0000 0.5000 0.1303  6 Ag 2.86-2.94, 2 Cd 2.97
3 Ag 0.0000 0.0000 0.2504  4 Cd 2.86-2.89, 4 Ag 2.90-2.92
4 Ag 0.0000 0.0000 0.5000  4 Ag 2.93, 4 Cd 2.94
5 Ag 0.0000 0.5000 0.3746  6 Ag 2.90-2.93, 2 Cd 2.90

formation enthalpy at 0 K = -0.014 eV per atom
crystal system = orthorhombic
V = 19.04 Å³ per atom
E above lowest polymorph = 0.029 eV/atom


No. 14
Computed, not measured: a geometry-optimized CdAg structure at the PBE level of DFT.

a = 9.6237 Å, b = 8.5446 Å, c = 5.7575 Å
α = 90.00°, β = 90.00°, γ = 90.00°
With the nearest neighbours (Å) after each atom.
Space group Pbcm (No. 57)
Unique sites:
1 Cd 0.1067 0.0529 0.2500  9 Ag 2.80-3.07
2 Cd 0.3492 0.6095 0.2500  7 Ag 2.82-2.94
3 Cd 0.3836 0.2500 0.0000  4 Cd 2.88-3.18, 6 Ag 2.96-3.10
4 Ag 0.1137 0.7500 0.0000  4 Ag 2.88-3.04, 6 Cd 2.94-3.07
5 Ag 0.1402 0.1215 0.7500  7 Cd 2.80-2.96, 2 Ag 3.04
6 Ag 0.3878 0.5586 0.7500  9 Cd 2.86-3.10

formation enthalpy at 0 K = -0.015 eV per atom
crystal system = orthorhombic
V = 19.73 Å³ per atom


No. 15
Computed, not measured: a geometry-optimized Cd2Ag structure at the PBE level of DFT.

a = 4.9202 Å, b = 4.9202 Å, c = 5.8252 Å
α = 90.00°, β = 90.00°, γ = 120.00°
With the nearest neighbours (Å) after each atom.
Space group P6_3/mmc (No. 194)
Unique sites:
1 Cd 0.0000 0.0000 0.0000  8 Cd 2.91-3.19, 6 Ag 3.19
2 Cd 0.3333 0.6667 0.2500  5 Ag 2.84-2.91
3 Ag 0.3333 0.6667 0.7500  5 Cd 2.84-2.91

formation enthalpy at 0 K = 0.015 eV per atom
crystal system = hexagonal
V = 20.35 Å³ per atom
E above lowest polymorph = 0.070 eV/atom


No. 16
Computed, not measured: a geometry-optimized Cd5Ag7 structure at the PBE level of DFT.

a = 13.0105 Å, b = 4.2823 Å, c = 9.3293 Å
α = 90.00°, β = 117.74°, γ = 90.00°
With the nearest neighbours (Å) after each atom.
Space group C2/m (No. 12)
Unique sites:
1 Cd 0.0000 0.0000 0.0000  10 Ag 2.97-3.03, 2 Cd 3.01
2 Cd 0.1602 0.0000 0.4957  7 Ag 2.93-3.07, 5 Cd 3.04-3.14
3 Cd 0.2461 0.5000 0.7571  8 Ag 2.90-3.11, 4 Cd 3.01-3.12
4 Ag 0.0000 0.5000 0.5000  6 Cd 2.98-3.00, 6 Ag 2.99-3.00
5 Ag 0.0833 0.5000 0.2496  7 Cd 2.95-3.11, 5 Ag 2.96-3.04
6 Ag 0.0836 0.0000 0.7525  5 Cd 2.93-3.00, 7 Ag 2.95-3.04
7 Ag 0.1642 0.5000 0.9985  5 Cd 2.90-3.03, 7 Ag 2.95-3.08

formation enthalpy at 0 K = -0.041 eV per atom
crystal system = monoclinic
V = 19.17 Å³ per atom
E above lowest polymorph = 0.000 eV/atom


No. 17
Computed, not measured: a geometry-optimized Cd5Ag structure at the PBE level of DFT.

a = 5.2845 Å, b = 3.0892 Å, c = 15.6288 Å
α = 90.00°, β = 90.00°, γ = 90.00°
With the nearest neighbours (Å) after each atom.
Space group Amm2 (No. 38)
Unique sites:
1 Cd 0.0000 0.0000 0.0000  2 Ag 2.98, 10 Cd 3.09-3.20
2 Cd 0.0000 0.0000 0.3261  2 Ag 2.98, 10 Cd 3.09-3.19
3 Cd 0.5000 0.0000 0.1096  8 Cd 2.98-3.15, 4 Ag 3.17
4 Cd 0.5000 0.0000 0.4408  12 Cd 3.04-3.20
5 Cd 0.5000 0.0000 0.7730  10 Cd 2.98-3.17, 2 Ag 3.15
6 Ag 0.0000 0.0000 0.6631  10 Cd 2.98-3.17, 2 Ag 3.09

formation enthalpy at 0 K = -0.020 eV per atom
crystal system = orthorhombic
V = 21.26 Å³ per atom


No. 18
Computed, not measured: a geometry-optimized CdAg structure at the PBE level of DFT.

a = 6.3610 Å, b = 6.3610 Å, c = 6.3610 Å
α = 90.00°, β = 90.00°, γ = 90.00°
With the nearest neighbours (Å) after each atom.
Space group F-43m (No. 216)
Unique sites:
1 Cd 0.0000 0.0000 0.0000  4 Ag 2.75
2 Ag 0.2500 0.2500 0.2500  4 Cd 2.75

formation enthalpy at 0 K = 0.454 eV per atom
crystal system = cubic
V = 32.17 Å³ per atom


No. 19
Computed, not measured: a geometry-optimized CdAg2 structure at the PBE level of DFT.

a = 2.9391 Å, b = 2.9391 Å, c = 27.2351 Å
α = 90.00°, β = 90.00°, γ = 90.00°
With the nearest neighbours (Å) after each atom.
Space group I4_1/amd (No. 141, origin choice 2)
Unique sites:
1 Cd 0.0000 0.2500 0.3750  4 Cd 2.94, 8 Ag 3.01
2 Ag 0.0000 0.2500 0.7948  6 Ag 2.85-2.94, 4 Cd 3.01

formation enthalpy at 0 K = 0.061 eV per atom
crystal system = tetragonal
V = 19.60 Å³ per atom
E above lowest polymorph = 0.102 eV/atom


No. 20
Computed, not measured: a geometry-optimized Cd2Ag structure at the PBE level of DFT.

a = 5.6379 Å, b = 5.6379 Å, c = 9.3374 Å
α = 90.00°, β = 90.00°, γ = 120.00°
With the nearest neighbours (Å) after each atom.
Space group P6_3/mmc (No. 194)
Unique sites:
1 Cd 0.0000 0.0000 0.0000  6 Cd 2.87
2 Cd 0.1707 0.3413 0.2500  6 Cd 2.75-2.89
3 Ag 0.3333 0.6667 0.5452  12 Cd 3.18-3.41, 3 Ag 3.36

formation enthalpy at 0 K = 0.123 eV per atom
crystal system = hexagonal
V = 21.42 Å³ per atom
E above lowest polymorph = 0.178 eV/atom


No. 21
Computed, not measured: a geometry-optimized CdAg5 structure at the PBE level of DFT.

a = 4.8227 Å, b = 2.9995 Å, c = 15.2333 Å
α = 90.00°, β = 90.00°, γ = 90.00°
With the nearest neighbours (Å) after each atom.
Space group Amm2 (No. 38)
Unique sites:
1 Cd 0.0000 0.0000 0.0000  10 Ag 2.96-2.98, 2 Cd 3.00
2 Ag 0.0000 0.0000 0.3319  10 Ag 2.91-3.00, 2 Cd 2.97
3 Ag 0.0000 0.0000 0.6681  10 Ag 2.91-3.00, 2 Cd 2.97
4 Ag 0.5000 0.0000 0.1150  10 Ag 2.93-3.00, 2 Cd 2.98
5 Ag 0.5000 0.0000 0.4459  8 Ag 2.93-3.00, 4 Cd 2.96
6 Ag 0.5000 0.0000 0.7804  12 Ag 2.93-3.00

formation enthalpy at 0 K = -0.001 eV per atom
crystal system = orthorhombic
V = 18.36 Å³ per atom
E above lowest polymorph = 0.019 eV/atom


No. 22
Computed, not measured: a geometry-optimized Cd2Ag structure at the PBE level of DFT.

a = 3.6226 Å, b = 14.3148 Å, c = 4.6724 Å
α = 90.00°, β = 90.00°, γ = 90.00°
With the nearest neighbours (Å) after each atom.
Space group Cmcm (No. 63)
Unique sites:
1 Cd 0.0000 0.0697 0.2500  6 Ag 2.97-2.98, 4 Cd 3.06-3.07
2 Cd 0.0000 0.2583 0.7500  4 Ag 2.96-3.14, 6 Cd 2.97-3.06
3 Ag 0.0000 0.4050 0.2500  10 Cd 2.96-3.14

formation enthalpy at 0 K = -0.027 eV per atom
crystal system = orthorhombic
V = 20.19 Å³ per atom
E above lowest polymorph = 0.027 eV/atom


No. 23
Computed, not measured: a geometry-optimized CdAg2 structure at the PBE level of DFT.

a = 4.7995 Å, b = 4.7995 Å, c = 3.0261 Å
α = 90.00°, β = 90.00°, γ = 90.00°
With the nearest neighbours (Å) after each atom.
Space group P4/mmm (No. 123)
Unique sites:
1 Cd 0.0000 0.0000 0.0000  8 Ag 2.84, 2 Cd 3.03
2 Ag 0.0000 0.5000 0.5000  4 Cd 2.84, 2 Ag 3.03

formation enthalpy at 0 K = 0.205 eV per atom
crystal system = tetragonal
V = 23.24 Å³ per atom
E above lowest polymorph = 0.246 eV/atom


No. 24
Computed, not measured: a geometry-optimized CdAg3 structure at the PBE level of DFT.

a = 5.9197 Å, b = 10.2439 Å, c = 4.8870 Å
α = 90.00°, β = 90.00°, γ = 90.00°
With the nearest neighbours (Å) after each atom.
Space group Cmcm (No. 63)
Unique sites:
1 Cd 0.0000 0.0876 0.2500  10 Ag 2.93-2.99, 2 Cd 3.03
2 Ag 0.0000 0.4158 0.7500  10 Ag 2.96-2.99, 2 Cd 2.96
3 Ag 0.2505 0.1657 0.7500  4 Cd 2.93-2.99, 8 Ag 2.95-2.99

formation enthalpy at 0 K = -0.042 eV per atom
crystal system = orthorhombic
V = 18.52 Å³ per atom


No. 25
Computed, not measured: a geometry-optimized CdAg structure at the PBE level of DFT.

a = 10.8575 Å, b = 3.0586 Å, c = 5.1546 Å
α = 90.00°, β = 114.69°, γ = 90.00°
With the nearest neighbours (Å) after each atom.
Space group C2/m (No. 12)
Unique sites:
1 Cd 0.1205 0.0000 0.2961  7 Ag 2.96-3.01, 5 Cd 3.06-3.12
2 Ag 0.1291 0.5000 0.8000  7 Cd 2.96-3.01, 5 Ag 2.99-3.19

formation enthalpy at 0 K = -0.049 eV per atom
crystal system = monoclinic
V = 19.44 Å³ per atom